## CrH6F12 (GGA+U)

Data for CrH6F12 after structural relaxation.

The structure in CIF format:
```
data_CrH6F12
_space_group_name_H-M_alt 'R -3'
_space_group_IT_number 148
_space_group_name_Hall '-R 3'
_cell_length_a 8.8390
_cell_length_b 8.8390
_cell_length_c 10.4488
_cell_angle_alpha 90.00
_cell_angle_beta 90.00
_cell_angle_gamma 120.00
loop_
_atom_site_label
_atom_site_fract_x
_atom_site_fract_y
_atom_site_fract_z
Cr1 0.0000 0.0000 0.0000
H1 0.0508 0.1461 0.6321
F1 0.0019 0.8385 0.0974
F2 0.0048 0.1680 0.3691
```

## Properties
For the spin magnetization, the calculation gives 0.384 μB/f.u. As for the total DFT energy (no corrections): -240.73 eV/cell.